# 1
Material: NdHoErLu
Method: DFT, GGA-PBE
State: relaxed

a b c (Å): 7.984 7.984 7.984
angles (deg): 90.00 90.00 90.00
Space group F-43m (No. 216)
Inequivalent atoms, fractional coordinates:
Nd1 0.000 0.000 0.000 [4 per cell]
Ho1 0.000 0.000 0.500 [4 per cell]
Er1 0.250 0.250 0.750 [4 per cell]
Lu1 0.250 0.250 0.250 [4 per cell]

Fermi-level density of states, states/eV per cell: 23.5
ΔE_f, eV per atom: 0.11
Size of the total moment, μB per cell: 0.0

=====

# 2
Material: Hf2MoPt
Method: DFT, GGA-PBE
State: relaxed

a b c (Å): 6.603 6.603 6.603
angles (deg): 90.00 90.00 90.00
Space group Fm-3m (No. 225)
Inequivalent atoms, fractional coordinates:
Hf1 0.250 0.250 0.250 [8 per cell]
Mo1 0.000 0.000 0.000 [4 per cell]
Pt1 0.000 0.000 0.500 [4 per cell]

Fermi-level density of states, states/eV per cell: 2.7
ΔE_f, eV per atom: -0.65
Size of the total moment, μB per cell: 0.0

=====

# 3
Material: GaAuBr5
Method: DFT, GGA-PBE
State: relaxed

a b c (Å): 9.624 13.089 9.244
angles (deg): 90.00 117.92 90.00
Space group C2/c (No. 15)
Inequivalent atoms, fractional coordinates:
Ga1 0.000 0.126 0.250 [4 per cell]
Au1 0.000 0.500 0.000 [4 per cell]
Br1 0.000 0.219 0.038 [8 per cell]
Br2 0.000 0.412 0.750 [4 per cell]
Br3 0.192 0.015 0.846 [8 per cell]

Fermi-level density of states, states/eV per cell: 10.5
Raw formation energy, meV/atom: -466
Size of the total moment, μB per cell: 0.0

=====

# 4
Material: Nd6Sm3Dy2Er
Method: DFT, GGA-PBE
State: relaxed

a b c (Å): 6.301 10.915 11.964
angles (deg): 90.00 100.09 90.00
Space group C2/m (No. 12)
Inequivalent atoms, fractional coordinates:
Nd1 0.250 0.000 0.247 [4 per cell]
Nd2 0.250 0.167 0.753 [8 per cell]
Sm1 0.000 0.000 0.500 [2 per cell]
Sm2 0.000 0.333 0.500 [4 per cell]
Dy1 0.000 0.167 0.000 [4 per cell]
Er1 0.000 0.500 0.000 [2 per cell]

Fermi-level density of states, states/eV per cell: 30.2
ΔE_f, eV per atom: 0.01
Size of the total moment, μB per cell: 0.0